[1]
First-principles (PBE-GGA) data for a geometry-optimized ZnTe2W structure, as listed in Alexandria.

a b c (Å): 7.334 7.334 7.334
angles (deg): 128.41 128.41 75.96
Sites, in units of the cell vectors:
Zn 0.000 0.000 0.000
Zn 0.750 0.250 0.500
Te 0.130 0.625 0.005
Te 0.375 0.380 0.505
Te 0.620 0.125 0.995
Te 0.875 0.870 0.495
W 0.250 0.750 0.500
W 0.500 0.500 0.000

The density is 7.12 g/cm3. The space-group type is I-42d, No. 122. The formation energy without anion corrections is 220.2 kJ/mol of formula units. The density of states at the Fermi level comes out at 4.978 states/eV/cell. For the volume, the calculation gives 29.43 Å³/atom.

[2]
First-principles (PBE-GGA) data for a geometry-optimized ZnTeW2 structure, as listed in Alexandria.

a b c (Å): 4.948 4.948 4.877
angles (deg): 107.90 107.90 39.17
Sites, in units of the cell vectors:
Zn 0.000 0.000 0.000
Te 0.773 0.773 0.319
W 0.251 0.251 0.835
W 0.536 0.536 0.556

Its energy above the lowest structure with this stoichiometry is 0.198 eV/atom. The density is 13.06 g/cm3. The space-group type is Cm, No. 8. The formation energy without anion corrections is 238.0 kJ/mol of formula units. The density of states at the Fermi level comes out at 1.786 states/eV/cell. For the volume, the calculation gives 17.82 Å³/atom.

[3]
First-principles (PBE-GGA) data for a geometry-optimized ZnTe2W structure, as listed in Alexandria.

a b c (Å): 2.902 3.603 9.784
angles (deg): 90.00 90.80 90.00
Sites, in units of the cell vectors:
Zn 0.000 0.000 0.000
Te 0.021 0.500 0.714
Te 0.979 0.500 0.286
W 0.000 0.000 0.500

The density is 8.19 g/cm3. The space-group type is P2/m, No. 10. The formation energy without anion corrections is 218.2 kJ/mol of formula units. The density of states at the Fermi level comes out at 2.624 states/eV/cell. For the volume, the calculation gives 25.57 Å³/atom.

[4]
First-principles (PBE-GGA) data for a geometry-optimized ZnTe2W structure, as listed in Alexandria.

a b c (Å): 4.930 4.930 3.386
angles (deg): 90.00 90.00 90.00
Sites, in units of the cell vectors:
Zn 0.000 0.000 0.000
Te 0.000 0.500 0.500
Te 0.500 0.000 0.500
W 0.500 0.500 0.000

The density is 10.18 g/cm3. The space-group type is P4/mmm, No. 123. The formation energy without anion corrections is 292.3 kJ/mol of formula units. The density of states at the Fermi level comes out at 3.931 states/eV/cell. For the volume, the calculation gives 20.57 Å³/atom.

[5]
First-principles (PBE-GGA) data for a geometry-optimized ZnTe2W structure, as listed in Alexandria.

a b c (Å): 9.109 9.109 9.109
angles (deg): 22.31 22.31 22.31
Sites, in units of the cell vectors:
Zn 0.000 0.000 0.000
Te 0.403 0.403 0.403
Te 0.597 0.597 0.597
W 0.500 0.500 0.500

The density is 8.77 g/cm3. The space-group type is R-3m, No. 166. The formation energy without anion corrections is 367.3 kJ/mol of formula units. The density of states at the Fermi level comes out at 4.455 states/eV/cell. For the volume, the calculation gives 23.88 Å³/atom.

[6]
First-principles (PBE-GGA) data for a geometry-optimized ZrTeW2 structure, as listed in Alexandria.

a b c (Å): 5.440 5.440 5.440
angles (deg): 143.04 127.60 65.84
Sites, in units of the cell vectors:
Zr 0.000 0.000 0.000
Te 0.263 0.763 0.500
W 0.514 0.514 0.000
W 0.736 0.236 0.500

Its energy above the lowest structure with this stoichiometry is 0.122 eV/atom. The density is 12.87 g/cm3. The space-group type is Imm2, No. 44. The formation energy without anion corrections is 132.0 kJ/mol of formula units. The density of states at the Fermi level comes out at 3.929 states/eV/cell. For the volume, the calculation gives 18.91 Å³/atom.

[7]
First-principles (PBE-GGA) data for a geometry-optimized ZrTeW2 structure, as listed in Alexandria.

a b c (Å): 5.643 5.643 5.643
angles (deg): 139.22 139.22 59.03
Sites, in units of the cell vectors:
Zr 0.000 0.000 0.000
Te 0.500 0.500 0.000
W 0.250 0.750 0.500
W 0.750 0.250 0.500

Its energy above the lowest structure with this stoichiometry is 0.152 eV/atom. The density is 12.83 g/cm3. The space-group type is I4/mmm, No. 139. The formation energy without anion corrections is 143.6 kJ/mol of formula units. The density of states at the Fermi level comes out at 2.022 states/eV/cell. For the volume, the calculation gives 18.98 Å³/atom.

[8]
First-principles (PBE-GGA) data for a geometry-optimized ZrTeW structure, as listed in Alexandria.

a b c (Å): 3.555 3.555 10.670
angles (deg): 90.00 90.00 90.00
Sites, in units of the cell vectors:
Zr 0.250 0.250 0.217
Zr 0.750 0.750 0.783
Te 0.250 0.250 0.646
Te 0.750 0.750 0.354
W 0.250 0.250 0.935
W 0.750 0.750 0.065

Its energy above the lowest structure with this stoichiometry is 0.000 eV/atom. The density is 9.91 g/cm3. The space-group type is P4/nmm, No. 129. The formation energy without anion corrections is -88.3 kJ/mol of formula units. The density of states at the Fermi level comes out at 1.399 states/eV/cell. For the volume, the calculation gives 22.48 Å³/atom.

[9]
First-principles (PBE-GGA) data for a geometry-optimized ZrTeW2 structure, as listed in Alexandria.

a b c (Å): 3.561 3.561 5.985
angles (deg): 90.00 90.00 90.00
Sites, in units of the cell vectors:
Zr 0.000 0.000 0.000
Te 0.000 0.000 0.500
W 0.500 0.500 0.247
W 0.500 0.500 0.753

Its energy above the lowest structure with this stoichiometry is 0.256 eV/atom. The density is 12.83 g/cm3. The space-group type is P4/mmm, No. 123. The formation energy without anion corrections is 183.6 kJ/mol of formula units. The density of states at the Fermi level comes out at 3.559 states/eV/cell. For the volume, the calculation gives 18.97 Å³/atom.

[10]
First-principles (PBE-GGA) data for a geometry-optimized ZrTeW2 structure, as listed in Alexandria.

a b c (Å): 3.066 3.066 8.891
angles (deg): 90.00 90.00 111.72
Sites, in units of the cell vectors:
Zr 0.000 0.000 0.000
Te 0.000 0.000 0.500
W 0.500 0.500 0.251
W 0.500 0.500 0.749

Its energy above the lowest structure with this stoichiometry is 0.460 eV/atom. The density is 12.54 g/cm3. The space-group type is Cmmm, No. 65. The formation energy without anion corrections is 262.3 kJ/mol of formula units. The density of states at the Fermi level comes out at 3.544 states/eV/cell. For the volume, the calculation gives 19.42 Å³/atom.

[11]
First-principles (PBE-GGA) data for a geometry-optimized ZrTeW structure, as listed in Alexandria.

a b c (Å): 4.724 4.724 3.142
angles (deg): 90.00 90.00 120.00
Sites, in units of the cell vectors:
Zr 0.000 0.000 0.000
Te 0.333 0.667 0.500
W 0.667 0.333 0.500

Its energy above the lowest structure with this stoichiometry is 0.522 eV/atom. The density is 11.01 g/cm3. The space-group type is P-6m2, No. 187. The formation energy without anion corrections is 62.8 kJ/mol of formula units. The density of states at the Fermi level comes out at 3.148 states/eV/cell. For the volume, the calculation gives 20.25 Å³/atom.

[12]
First-principles (PBE-GGA) data for a geometry-optimized ZrTeW structure, as listed in Alexandria.

a b c (Å): 4.600 4.600 4.600
angles (deg): 60.00 60.00 60.00
Sites, in units of the cell vectors:
Zr 0.000 0.000 0.000
Te 0.500 0.500 0.500
W 0.250 0.250 0.250

Its energy above the lowest structure with this stoichiometry is 0.803 eV/atom. The density is 9.72 g/cm3. The space-group type is F-43m, No. 216. The formation energy without anion corrections is 144.0 kJ/mol of formula units. The density of states at the Fermi level comes out at 5.885 states/eV/cell. For the volume, the calculation gives 22.93 Å³/atom.